Tl2AuO4 PBE relaxed; formation energy from raw total energies = -0.32 eV per atom; Fermi-level density of states = 0.301 states/eV per atom; space-group type = Cmmm
1.0
6.314 -0.364 0.000
-3.411 5.326 0.000
0.000 0.000 6.484
Tl Au O
4 2 8
Cartesian
-1.745 4.351 0.000
4.648 0.611 0.000
-1.745 4.351 3.242
4.648 0.611 3.242
1.452 2.481 1.621
1.452 2.481 4.863
2.137 3.653 0.000
0.766 1.309 0.000
0.766 1.309 3.242
2.137 3.653 3.242
3.157 -0.182 1.621
-1.705 2.663 1.621
3.157 -0.182 4.863
-1.705 2.663 4.863

---

MnAl3Ge PBE relaxed; energy above the lowest structure with this stoichiometry = 495.5 meV/atom; E_form = 0.89 eV per atom; Fermi-level density of states = 0.589 states/eV per atom; space-group type = Pm-3m
1.0
-3.126 -3.258 -1.741
1.939 0.495 -4.406
3.145 -3.544 0.986
Ge Mn Al
1 1 3
Cartesian
0.000 0.000 0.000
0.979 -3.154 -2.581
0.969 0.247 -2.203
1.572 -1.772 0.493
-1.563 -1.629 -0.871

---

HfAlTe PBE relaxed; formation energy from raw total energies = -0.38 eV per atom; energy above the lowest structure with this stoichiometry = 115.2 meV/atom; Fermi-level density of states = 0.344 states/eV per atom; space-group type = I4mm
1.0
3.624 0.000 0.000
0.000 3.624 0.000
0.000 0.000 9.363
Te Hf Al
2 2 2
Cartesian
0.000 0.000 4.244
1.812 1.812 8.926
0.000 0.000 1.106
1.812 1.812 5.787
0.000 0.000 7.275
1.812 1.812 2.594

---

RbSiB PBE relaxed; formation energy from raw total energies = 0.52 eV per atom; Fermi-level density of states = 0.118 states/eV per atom; space-group type = P6_3/mmc
1.0
-3.564 0.327 4.613
1.583 -5.212 -2.103
5.773 -0.047 4.463
Si B Rb
2 2 2
Cartesian
0.000 0.000 0.000
2.886 -0.024 2.232
1.443 -0.012 1.116
4.330 -0.036 3.348
1.310 -3.377 1.252
2.481 -1.555 5.722